Entry 1:
This record from Alexandria via LeMat-Bulk describes an optimized crystal structure of Ca2S4O. The functional is GGA-PBE.

Total magnetization (μB/atom): 0.05
Raw formation energy (eV per atom): -0.77
Volume (Å³/atom): 19.6

Unit cell a=9.2299 b=9.2299 c=9.2299 alpha=155.26 beta=155.26 gamma=35.27
Closest atoms and distances in Å follow each position.
Fractional coordinates of all 7 atoms:
Ca1 0.1544 0.1544 0.0000  5 S 2.84-2.87
Ca2 0.8456 0.8456 0.0000  5 S 2.84-2.87
S1 0.0000 0.5000 0.5000  2 O 1.98
S2 0.3172 0.3172 0.0000  5 Ca 2.84-2.87
S3 0.5000 0.0000 0.5000  2 O 1.98
S4 0.6828 0.6828 0.0000  5 Ca 2.84-2.87
O1 0.5000 0.5000 0.0000  4 S 1.98

***

Entry 2:
This record from Alexandria via LeMat-Bulk describes an optimized crystal structure of Pr6Ho8Pb. The functional is GGA-PBE.

Total magnetization (μB/atom): 0.00
Formation energy (meV/atom): 61
Volume (Å³/atom): 33.7

Unit cell a=9.4882 b=9.4882 c=6.4768 alpha=90.00 beta=90.00 gamma=120.00
Closest atoms and distances in Å follow each position.
Fractional coordinates of all 15 atoms:
Pr1 0.0890 0.6403 0.3172  1 Pr 3.32, 5 Ho 3.39-3.63
Pr2 0.3597 0.4487 0.3172  1 Pr 3.32, 5 Ho 3.39-3.63
Pr3 0.4487 0.0890 0.6828  1 Pr 3.32, 5 Ho 3.39-3.63
Pr4 0.5513 0.9110 0.3172  1 Pr 3.32, 5 Ho 3.39-3.63
Pr5 0.6403 0.5513 0.6828  1 Pr 3.32, 5 Ho 3.39-3.63
Pr6 0.9110 0.3597 0.6828  1 Pr 3.32, 5 Ho 3.39-3.63
Ho1 0.0377 0.7755 0.8155  1 Pb 3.10, 3 Ho 3.34-3.44, 1 Pr 3.39
Ho2 0.2245 0.2623 0.8155  1 Pb 3.10, 3 Ho 3.34-3.44, 1 Pr 3.39
Ho3 0.2623 0.0377 0.1845  1 Pb 3.10, 3 Ho 3.34-3.44, 1 Pr 3.39
Ho4 0.3333 0.6667 0.8399  3 Ho 3.44, 6 Pr 3.73-3.80
Ho5 0.6667 0.3333 0.1601  3 Ho 3.44, 6 Pr 3.73-3.80
Ho6 0.7377 0.9623 0.8155  1 Pb 3.10, 3 Ho 3.34-3.44, 1 Pr 3.39
Ho7 0.7755 0.7377 0.1845  1 Pb 3.10, 3 Ho 3.34-3.44, 1 Pr 3.39
Ho8 0.9623 0.2245 0.1845  1 Pb 3.10, 3 Ho 3.34-3.44, 1 Pr 3.39
Pb1 0.0000 0.0000 0.5000  6 Ho 3.10

***

Entry 3:
This record from Alexandria via LeMat-Bulk describes an optimized crystal structure of Na2TlOs3O12. The functional is GGA-PBE.

Total magnetization (μB/atom): 0.00
Raw formation energy (eV per atom): -1.05
Volume (Å³/atom): 14.6

Unit cell a=7.1055 b=7.1055 c=7.1055 alpha=61.75 beta=61.75 gamma=61.75
Closest atoms and distances in Å follow each position.
Fractional coordinates of all 18 atoms:
Na1 0.1302 0.1302 0.1302  3 O 2.37
Na2 0.8698 0.8698 0.8698  3 O 2.37
Tl1 0.5000 0.5000 0.5000  12 O 2.87-2.92
Os1 0.0000 0.5000 0.5000  6 O 1.79-1.96
Os2 0.5000 0.0000 0.5000  6 O 1.79-1.96
Os3 0.5000 0.5000 0.0000  6 O 1.79-1.96
O1 0.0171 0.6414 0.6414  1 Os 1.79
O2 0.2303 0.2303 0.6152  2 Os 1.96
O3 0.2303 0.6152 0.2303  2 Os 1.96
O4 0.3586 0.3586 0.9829  1 Os 1.79
O5 0.3586 0.9829 0.3586  1 Os 1.79
O6 0.3848 0.7697 0.7697  2 Os 1.96
O7 0.6152 0.2303 0.2303  2 Os 1.96
O8 0.6414 0.0171 0.6414  1 Os 1.79
O9 0.6414 0.6414 0.0171  1 Os 1.79
O10 0.7697 0.3848 0.7697  2 Os 1.96
O11 0.7697 0.7697 0.3848  2 Os 1.96
O12 0.9829 0.3586 0.3586  1 Os 1.79

***

Entry 4:
This record from Alexandria via LeMat-Bulk describes an optimized crystal structure of BaAlRh2. The functional is GGA-PBE.

Total magnetization (μB/atom): 0.00
Formation energy (meV/atom): -317
Energy above the most stable polymorph in this dataset (meV per atom): 153
Volume (Å³/atom): 19.2

Unit cell a=3.1868 b=3.2011 c=7.5409 alpha=90.00 beta=90.00 gamma=90.00
Closest atoms and distances in Å follow each position.
Fractional coordinates of all 4 atoms:
Ba1 0.0000 0.0000 0.0000  4 Ba 3.19-3.20, 8 Rh 3.29
Al1 0.0000 0.0000 0.5000  8 Rh 2.65
Rh1 0.5000 0.5000 0.3163  4 Al 2.65, 1 Rh 2.77
Rh2 0.5000 0.5000 0.6837  4 Al 2.65, 1 Rh 2.77

***

Entry 5:
This record from Alexandria via LeMat-Bulk describes an optimized crystal structure of Be3As5. The functional is GGA-PBE.

Total magnetization (μB/atom): 0.00
Formation energy (meV/atom): 427
Energy above the most stable polymorph in this dataset (meV per atom): 249
Volume (Å³/atom): 16.5

Unit cell a=6.3477 b=6.3477 c=3.6410 alpha=90.00 beta=90.00 gamma=116.02
Closest atoms and distances in Å follow each position.
Fractional coordinates of all 8 atoms:
Be1 0.0000 0.0000 0.0000  4 As 2.32
Be2 0.1795 0.8205 0.5000  6 As 2.41-2.59, 2 Be 2.66
Be3 0.8205 0.1795 0.5000  6 As 2.41-2.59, 2 Be 2.66
As1 0.0000 0.5000 0.0000  4 Be 2.59
As2 0.2136 0.2136 0.5000  4 Be 2.32-2.41
As3 0.5000 0.0000 0.0000  4 Be 2.59
As4 0.5000 0.5000 0.0000  4 As 2.65
As5 0.7864 0.7864 0.5000  4 Be 2.32-2.41

***

Entry 6:
This record from Alexandria via LeMat-Bulk describes an optimized crystal structure of AlTeOs. The functional is GGA-PBE.

Total magnetization (μB/atom): 0.00
Raw formation energy (eV per atom): 0.42
Energy above the most stable polymorph in this dataset (meV per atom): 315
Volume (Å³/atom): 19.0

Unit cell a=5.4494 b=5.4494 c=5.4494 alpha=146.60 beta=139.87 gamma=53.17
Closest atoms and distances in Å follow each position.
Fractional coordinates of all 3 atoms:
Al1 0.0000 0.0000 0.0000  4 Os 2.56
Te1 0.2998 0.2998 0.0000  1 Os 2.73, 1 Al 2.92
Os1 0.5796 0.5796 0.0000  4 Al 2.56, 1 Te 2.73

***

Entry 7:
This record from Alexandria via LeMat-Bulk describes an optimized crystal structure of SN. The functional is GGA-PBE.

Total magnetization (μB/atom): 0.00
Raw formation energy (eV per atom): 0.69
Volume (Å³/atom): 22.7

Unit cell a=4.1654 b=4.3715 c=5.1167 alpha=76.68 beta=87.82 gamma=89.51
Closest atoms and distances in Å follow each position.
Fractional coordinates of all 4 atoms:
S1 0.0981 0.1973 0.3185  2 N 1.65-1.66
S2 0.9019 0.8027 0.6815  2 N 1.65-1.66
N1 0.0551 0.8089 0.3786  2 S 1.65-1.66
N2 0.9449 0.1911 0.6214  2 S 1.65-1.66

***

Entry 8:
This record from Alexandria via LeMat-Bulk describes an optimized crystal structure of Mn2H2Pt. The functional is GGA-PBE.

Total magnetization (μB/atom): 0.19
Energy above the most stable polymorph in this dataset (meV per atom): 67
Volume (Å³/atom): 8.8

Unit cell a=5.7583 b=5.7583 c=2.6638 alpha=90.00 beta=90.00 gamma=90.00
Closest atoms and distances in Å follow each position.
Fractional coordinates of all 10 atoms:
Mn1 0.1232 0.3768 0.0000  4 H 1.95, 1 Mn 2.01
Mn2 0.3768 0.8768 0.0000  4 H 1.95, 1 Mn 2.01
Mn3 0.6232 0.1232 0.0000  4 H 1.95, 1 Mn 2.01
Mn4 0.8768 0.6232 0.0000  4 H 1.95, 1 Mn 2.01
H1 0.1247 0.6247 0.5000  4 Mn 1.95, 1 H 2.03
H2 0.3753 0.1247 0.5000  4 Mn 1.95, 1 H 2.03
H3 0.6247 0.8753 0.5000  4 Mn 1.95, 1 H 2.03
H4 0.8753 0.3753 0.5000  4 Mn 1.95, 1 H 2.03
Pt1 0.0000 0.0000 0.5000  4 H 2.28
Pt2 0.5000 0.5000 0.5000  4 H 2.28

***

Entry 9:
This record from Alexandria via LeMat-Bulk describes an optimized crystal structure of CuTcRh2. The functional is GGA-PBE.

Total magnetization (μB/atom): 0.00
Formation energy (meV/atom): -38
Energy above the most stable polymorph in this dataset (meV per atom): 28
Volume (Å³/atom): 13.8

Unit cell a=2.7280 b=3.7509 c=5.3866 alpha=90.00 beta=90.12 gamma=90.00
Closest atoms and distances in Å follow each position.
Fractional coordinates of all 4 atoms:
Cu1 0.0000 0.0000 0.0000  8 Rh 2.68, 2 Tc 2.69, 2 Cu 2.73
Tc1 0.0000 0.0000 0.5000  8 Rh 2.68-2.69, 2 Cu 2.69, 2 Tc 2.73
Rh1 0.5002 0.5000 0.2492  4 Cu 2.68, 4 Tc 2.68-2.69, 4 Rh 2.69-2.73
Rh2 0.4998 0.5000 0.7508  4 Cu 2.68, 4 Tc 2.68-2.69, 4 Rh 2.69-2.73

***

Entry 10:
This record from Alexandria via LeMat-Bulk describes an optimized crystal structure of Cs2NaPaBr6. The functional is GGA-PBE.

Total magnetization (μB/atom): 0.00
Raw formation energy (eV per atom): -1.54
Volume (Å³/atom): 41.0

Unit cell a=14.8075 b=14.8075 c=14.8075 alpha=32.22 beta=32.22 gamma=32.22
Closest atoms and distances in Å follow each position.
Fractional coordinates of all 20 atoms:
Cs1 0.1251 0.1251 0.1251  12 Br 4.11-4.28
Cs2 0.2910 0.2910 0.2910  12 Br 4.11-4.22
Cs3 0.7090 0.7090 0.7090  12 Br 4.11-4.22
Cs4 0.8749 0.8749 0.8749  12 Br 4.11-4.28
Na1 0.4123 0.4123 0.4123  6 Br 2.88-3.04
Na2 0.5877 0.5877 0.5877  6 Br 2.88-3.04
Pa1 0.0000 0.0000 0.0000  6 Br 2.91
Pa2 0.5000 0.5000 0.5000  6 Br 2.93
Br1 0.1282 0.6233 0.6233  1 Pa 2.93, 1 Na 3.04
Br2 0.2064 0.2064 0.7079  1 Na 2.88, 1 Pa 2.91
Br3 0.2064 0.7079 0.2064  1 Na 2.88, 1 Pa 2.91
Br4 0.2921 0.7936 0.7936  1 Na 2.88, 1 Pa 2.91
Br5 0.3767 0.3767 0.8718  1 Pa 2.93, 1 Na 3.04
Br6 0.3767 0.8718 0.3767  1 Pa 2.93, 1 Na 3.04
Br7 0.6233 0.1282 0.6233  1 Pa 2.93, 1 Na 3.04
Br8 0.6233 0.6233 0.1282  1 Pa 2.93, 1 Na 3.04
Br9 0.7079 0.2064 0.2064  1 Na 2.88, 1 Pa 2.91
Br10 0.7936 0.2921 0.7936  1 Na 2.88, 1 Pa 2.91
Br11 0.7936 0.7936 0.2921  1 Na 2.88, 1 Pa 2.91
Br12 0.8718 0.3767 0.3767  1 Pa 2.93, 1 Na 3.04

***

Entry 11:
This record from Alexandria via LeMat-Bulk describes an optimized crystal structure of CsGa2Ag. The functional is GGA-PBE.

Total magnetization (μB/atom): 0.00
Formation energy (meV/atom): 91
Volume (Å³/atom): 27.1

Unit cell a=3.5540 b=3.5540 c=8.5944 alpha=90.00 beta=90.00 gamma=90.00
Closest atoms and distances in Å follow each position.
Fractional coordinates of all 4 atoms:
Cs1 0.0000 0.0000 0.0000  4 Cs 3.55, 8 Ga 3.82
Ga1 0.5000 0.5000 0.3343  1 Ga 2.85, 4 Ag 2.89
Ga2 0.5000 0.5000 0.6657  1 Ga 2.85, 4 Ag 2.89
Ag1 0.0000 0.0000 0.5000  8 Ga 2.89

***

Entry 12:
This record from Alexandria via LeMat-Bulk describes an optimized crystal structure of NaU2Pd2S6. The functional is GGA-PBE.

Total magnetization (μB/atom): 0.09
Raw formation energy (eV per atom): -1.03
Volume (Å³/atom): 23.1

Unit cell a=6.8106 b=6.8568 c=7.2015 alpha=90.29 beta=117.63 gamma=117.35
Closest atoms and distances in Å follow each position.
Fractional coordinates of all 11 atoms:
Na1 0.0000 0.0000 0.0000  6 S 2.84-2.96
U1 0.3319 0.6668 0.0013  6 S 2.61-2.64
U2 0.6681 0.3332 0.9987  6 S 2.61-2.64
Pd1 0.0847 0.2166 0.6227  4 S 2.39-2.53
Pd2 0.9153 0.7834 0.3773  4 S 2.39-2.53
S1 0.1338 0.7004 0.2263  1 Pd 2.45, 2 U 2.61-2.62
S2 0.2247 0.9394 0.7683  2 Pd 2.43-2.53, 2 U 2.64
S3 0.4880 0.5686 0.7644  1 Pd 2.39, 2 U 2.61-2.62
S4 0.5120 0.4314 0.2356  1 Pd 2.39, 2 U 2.61-2.62
S5 0.7753 0.0606 0.2317  2 Pd 2.43-2.53, 2 U 2.64
S6 0.8662 0.2996 0.7737  1 Pd 2.45, 2 U 2.61-2.62